Record 1
This record from the Alexandria database describes crystalline HgAsO2 at its relaxed geometry. The functional is PBE.

For the total moment, the calculation gives 0.000 μB/cell. The value obtained for the formation energy from raw total energies is -0.62 eV per atom. The total energy comes out at -138.640 eV/cell.

The structure belongs to space group Fd-3m (No. 227, origin choice 2); the cell edges are 8.552, 8.552 and 8.552 Å and the angles 90.00°, 90.00° and 90.00°. The distinct sites, in fractional coordinates, are Hg at (0.125, 0.125, 0.125), As at (0.125, 0.125, 0.625) and O at (0.000, 0.000, 0.500).

Record 2
This record from the Alexandria database describes crystalline HgAsO at its relaxed geometry. The functional is PBE.

For the total moment, the calculation gives 0.000 μB/cell. The value obtained for the formation energy from raw total energies is -0.41 eV per atom. The total energy comes out at -44.598 eV/cell.

The structure belongs to space group P2_12_12_1 (No. 19); the cell edges are 4.348, 7.891 and 8.243 Å and the angles 90.00°, 90.00° and 90.00°. The distinct sites, in fractional coordinates, are Hg at (0.030, 0.177, 0.108), As at (0.218, 0.875, 0.917) and O at (0.010, 0.178, 0.581).

Record 3
This record from the Alexandria database describes crystalline Hg2AsO at its relaxed geometry. The functional is PBE.

For the total moment, the calculation gives 0.000 μB/cell. The value obtained for the formation energy from raw total energies is 0.53 eV per atom. The total energy comes out at -32.401 eV/cell.

The structure belongs to space group Fm-3m (No. 225); the cell edges are 6.656, 6.656 and 6.656 Å and the angles 90.00°, 90.00° and 90.00°. The distinct sites, in fractional coordinates, are Hg at (0.250, 0.250, 0.250), As at (0.000, 0.000, 0.000) and O at (0.000, 0.000, 0.500).

Record 4
This record from the Alexandria database describes crystalline Hg3AsO6 at its relaxed geometry. The functional is PBE.

For the total moment, the calculation gives 0.000 μB/cell. The value obtained for the formation energy from raw total energies is -0.45 eV per atom. The total energy comes out at -79.639 eV/cell.

The structure belongs to space group C2/m (No. 12); the cell edges are 10.386, 5.533 and 5.415 Å and the angles 90.00°, 119.92° and 90.00°. The distinct sites, in fractional coordinates, are Hg at (0.000, 0.000, 0.000), Hg at (0.244, 0.000, 0.728), As at (0.000, 0.500, 0.500), O at (0.080, 0.260, 0.360) and O at (0.185, 0.500, 0.820).

Record 5
This record from the Alexandria database describes crystalline HgAs2O6 at its relaxed geometry. The functional is PBE.

For the total moment, the calculation gives 0.000 μB/cell. The value obtained for the formation energy from raw total energies is -0.93 eV per atom. The total energy comes out at -190.845 eV/cell.

The structure belongs to space group C2/c (No. 15); the cell edges are 11.404, 9.443 and 5.426 Å and the angles 90.00°, 106.67° and 90.00°. The distinct sites, in fractional coordinates, are Hg at (0.000, 0.148, 0.250), As at (0.229, 0.409, 0.242), O at (0.117, 0.072, 0.669), O at (0.156, 0.495, 0.454) and O at (0.175, 0.242, 0.200).

Record 6
This record from the Alexandria database describes crystalline HgAs3O at its relaxed geometry. The functional is PBE.

For the total moment, the calculation gives 0.002 μB/cell. The value obtained for the formation energy from raw total energies is 1.64 eV per atom. The total energy comes out at -11.028 eV/cell.

The structure belongs to space group Pm-3m (No. 221); the cell edges are 5.186, 5.186 and 5.186 Å and the angles 90.00°, 90.00° and 90.00°. The distinct sites, in fractional coordinates, are Hg at (0.000, 0.000, 0.000), As at (0.000, 0.000, 0.500) and O at (0.500, 0.500, 0.500).

Record 7
This record from the Alexandria database describes crystalline HgAs2O at its relaxed geometry. The functional is PBE.

For the total moment, the calculation gives 0.000 μB/cell. The value obtained for the formation energy from raw total energies is -0.02 eV per atom. The total energy comes out at -58.531 eV/cell.

The structure belongs to space group I-42d (No. 122); the cell edges are 4.983, 4.983 and 13.522 Å and the angles 90.00°, 90.00° and 90.00°. The distinct sites, in fractional coordinates, are Hg at (0.000, 0.000, 0.000), As at (0.104, 0.250, 0.625) and O at (0.000, 0.000, 0.500).

Record 8
This record from the Alexandria database describes crystalline Hg2AsO at its relaxed geometry. The functional is PBE.

For the total moment, the calculation gives 0.000 μB/cell. The value obtained for the formation energy from raw total energies is 0.10 eV per atom. The total energy comes out at -39.309 eV/cell.

The structure belongs to space group I-42d (No. 122); the cell edges are 5.797, 5.797 and 11.187 Å and the angles 90.00°, 90.00° and 90.00°. The distinct sites, in fractional coordinates, are Hg at (0.203, 0.250, 0.125), As at (0.000, 0.000, 0.500) and O at (0.000, 0.000, 0.000).

Record 9
This record from the Alexandria database describes crystalline HgAsO2 at its relaxed geometry. The functional is PBE.

For the total moment, the calculation gives 0.000 μB/cell. The value obtained for the formation energy from raw total energies is -0.21 eV per atom. The total energy comes out at -47.130 eV/cell.

The structure belongs to space group R-3m (No. 166, hexagonal axes); the cell edges are 3.3329, 3.3329 and 19.6180 Å and the angles 90.00°, 90.00° and 120.00°. The distinct sites, in fractional coordinates, are Hg at (0.0000, 0.0000, 0.0000), As at (0.0000, 0.0000, 0.5000) and O at (0.0000, 0.0000, 0.4043).

Record 10
This record from the Alexandria database describes crystalline Hg3AsO at its relaxed geometry. The functional is PBE.

For the total moment, the calculation gives 0.000 μB/cell. The value obtained for the formation energy from raw total energies is 0.59 eV per atom. The total energy comes out at -7.549 eV/cell.

The structure belongs to space group Pm-3m (No. 221); the cell edges are 5.315, 5.315 and 5.315 Å and the angles 90.00°, 90.00° and 90.00°. The distinct sites, in fractional coordinates, are Hg at (0.000, 0.000, 0.500), As at (0.000, 0.000, 0.000) and O at (0.500, 0.500, 0.500).

Record 11
This record from the Alexandria database describes crystalline HgAsO4 at its relaxed geometry. The functional is PBE.

For the total moment, the calculation gives 0.000 μB/cell. The value obtained for the formation energy from raw total energies is -0.62 eV per atom. The total energy comes out at -113.912 eV/cell.

The structure belongs to space group P2_1/c (No. 14); the cell edges are 4.959, 9.870 and 8.990 Å and the angles 90.00°, 123.19° and 90.00°. The distinct sites, in fractional coordinates, are Hg at (0.211, 0.001, 0.261), As at (0.087, 0.692, 0.048), O at (0.003, 0.660, 0.837), O at (0.118, 0.632, 0.546), O at (0.260, 0.136, 0.465) and O at (0.406, 0.619, 0.236).

Record 12
This record from the Alexandria database describes crystalline Hg3AsO at its relaxed geometry. The functional is PBE.

For the total moment, the calculation gives 0.000 μB/cell. The value obtained for the formation energy from raw total energies is 0.38 eV per atom. The total energy comes out at -8.622 eV/cell.

The structure belongs to space group Pm-3m (No. 221); the cell edges are 4.771, 4.771 and 4.771 Å and the angles 90.00°, 90.00° and 90.00°. The distinct sites, in fractional coordinates, are Hg at (0.000, 0.000, 0.500), As at (0.500, 0.500, 0.500) and O at (0.000, 0.000, 0.000).

Record 13
This record from the Alexandria database describes crystalline Hg3AsO6 at its relaxed geometry. The functional is PBE.

For the total moment, the calculation gives 0.043 μB/cell. The value obtained for the formation energy from raw total energies is -0.51 eV per atom. The total energy comes out at -242.204 eV/cell.

The structure belongs to space group R-3 (No. 148, hexagonal axes); the cell edges are 9.5197, 9.5197 and 11.3751 Å and the angles 90.00°, 90.00° and 120.00°. The distinct sites, in fractional coordinates, are Hg at (0.0595, 0.2707, 0.1948), As at (0.0000, 0.0000, 0.0000), As at (0.0000, 0.0000, 0.5000), O at (0.0711, 0.1844, 0.4038) and O at (0.0735, 0.1859, 0.9060).

Record 14
This record from the Alexandria database describes crystalline HgAsO4 at its relaxed geometry. The functional is PBE.

For the total moment, the calculation gives 2.015 μB/cell. The value obtained for the formation energy from raw total energies is -0.58 eV per atom. The total energy comes out at -56.578 eV/cell.

The structure belongs to space group Pban (No. 50, origin choice 2); the cell edges are 5.533, 6.105 and 4.726 Å and the angles 90.00°, 90.00° and 90.00°. The distinct sites, in fractional coordinates, are Hg at (0.250, 0.250, 0.000), As at (0.250, 0.750, 0.500) and O at (0.074, 0.593, 0.274).

Record 15
This record from the Alexandria database describes crystalline HgAsO2 at its relaxed geometry. The functional is PBE.

For the total moment, the calculation gives 0.000 μB/cell. The value obtained for the formation energy from raw total energies is -0.52 eV per atom. The total energy comes out at -50.786 eV/cell.

The structure belongs to space group R-3m (No. 166, hexagonal axes); the cell edges are 3.0831, 3.0831 and 23.1864 Å and the angles 90.00°, 90.00° and 120.00°. The distinct sites, in fractional coordinates, are Hg at (0.0000, 0.0000, 0.0000), As at (0.0000, 0.0000, 0.5000) and O at (0.0000, 0.0000, 0.1218).

Record 16
This record from the Alexandria database describes crystalline HgAs2O at its relaxed geometry. The functional is PBE.

For the total moment, the calculation gives 0.000 μB/cell. The value obtained for the formation energy from raw total energies is 0.55 eV per atom. The total energy comes out at -49.415 eV/cell.

The structure belongs to space group Fm-3m (No. 225); the cell edges are 6.474, 6.474 and 6.474 Å and the angles 90.00°, 90.00° and 90.00°. The distinct sites, in fractional coordinates, are Hg at (0.000, 0.000, 0.000), As at (0.250, 0.250, 0.250) and O at (0.000, 0.000, 0.500).

Record 17
This record from the Alexandria database describes crystalline HgAsO2 at its relaxed geometry. The functional is PBE.

For the total moment, the calculation gives 0.000 μB/cell. The value obtained for the formation energy from raw total energies is 0.19 eV per atom. The total energy comes out at -56.443 eV/cell.

The structure belongs to space group Fm-3m (No. 225); the cell edges are 5.954, 5.954 and 5.954 Å and the angles 90.00°, 90.00° and 90.00°. The distinct sites, in fractional coordinates, are Hg at (0.000, 0.000, 0.000), As at (0.000, 0.000, 0.500) and O at (0.250, 0.250, 0.250).

Record 18
This record from the Alexandria database describes crystalline HgAs3O9 at its relaxed geometry. The functional is PBE.

For the total moment, the calculation gives 4.284 μB/cell. The value obtained for the formation energy from raw total energies is -0.79 eV per atom. The total energy comes out at -276.809 eV/cell.

The structure belongs to space group C222_1 (No. 20); the cell edges are 10.033, 10.533 and 7.598 Å and the angles 90.00°, 90.00° and 90.00°. The distinct sites, in fractional coordinates, are Hg at (0.209, 0.000, 0.000), As at (0.012, 0.289, 0.461), As at (0.217, 0.500, 0.000), O at (0.000, 0.363, 0.250), O at (0.027, 0.134, 0.036), O at (0.104, 0.381, 0.919), O at (0.168, 0.320, 0.534) and O at (0.200, 0.043, 0.683).

Record 19
This record from the Alexandria database describes crystalline Hg2AsOsO at its relaxed geometry. The functional is PBE.

For the total moment, the calculation gives 0.000 μB/cell. The value obtained for the formation energy from raw total energies is 0.27 eV per atom. The total energy comes out at -20.072 eV/cell.

The structure belongs to space group P4/mmm (No. 123); the cell edges are 5.461, 5.461 and 3.636 Å and the angles 90.00°, 90.00° and 90.00°. The distinct sites, in fractional coordinates, are Hg at (0.000, 0.500, 0.000), As at (0.000, 0.000, 0.500), Os at (0.500, 0.500, 0.000) and O at (0.500, 0.500, 0.500).

Record 20
This record from the Alexandria database describes crystalline HgAsPO2 at its relaxed geometry. The functional is PBE.

For the total moment, the calculation gives 0.000 μB/cell. The value obtained for the formation energy from raw total energies is 0.82 eV per atom. The total energy comes out at -16.197 eV/cell.

The structure belongs to space group P4/mmm (No. 123); the cell edges are 4.114, 4.114 and 5.130 Å and the angles 90.00°, 90.00° and 90.00°. The distinct sites, in fractional coordinates, are Hg at (0.000, 0.000, 0.000), As at (0.500, 0.500, 0.500), P at (0.000, 0.000, 0.500) and O at (0.000, 0.500, 0.000).

Record 21
This record from the Alexandria database describes crystalline HgAsPO2 at its relaxed geometry. The functional is PBE.

For the total moment, the calculation gives 0.000 μB/cell. The value obtained for the formation energy from raw total energies is -0.19 eV per atom. The total energy comes out at -21.239 eV/cell.

The structure belongs to space group P4/mmm (No. 123); the cell edges are 3.758, 3.758 and 5.140 Å and the angles 90.00°, 90.00° and 90.00°. The distinct sites, in fractional coordinates, are Hg at (0.000, 0.000, 0.000), As at (0.500, 0.500, 0.500), P at (0.500, 0.500, 0.000) and O at (0.000, 0.500, 0.500).

Record 22
This record from the Alexandria database describes crystalline PaHgAsO6 at its relaxed geometry. The functional is PBE.

For the total moment, the calculation gives 0.000 μB/cell. The value obtained for the formation energy from raw total energies is -1.73 eV per atom. The total energy comes out at -239.076 eV/cell.

The structure belongs to space group Imma (No. 74); the cell edges are 7.693, 9.020 and 8.535 Å and the angles 90.00°, 90.00° and 90.00°. The distinct sites, in fractional coordinates, are Pa at (0.000, 0.000, 0.000), Hg at (0.000, 0.250, 0.405), As at (0.250, 0.250, 0.750), O at (0.000, 0.250, 0.163), O at (0.000, 0.250, 0.657) and O at (0.201, 0.108, 0.888).